# 1
Entry from the Alexandria database: crystalline Si2PIr at its relaxed geometry (GGA-PBE).

```
4
Lattice="4.423 0.002 0.000 -1.180 4.263 0.000 0.000 0.000 2.936" Properties=species:S:1:pos:R:3 pbc="T T T"
Si 0.000 0.000 0.000
Ir 2.211 0.001 1.468
Si 1.622 2.132 0.000
P -0.590 2.131 1.468
```

Space-group type: Cmmm, No. 65
Fermi-level density of states: 0.4917 states/eV/atom
Energy relative to the lowest polymorph listed for this composition: 458.1 meV per atom
Total magnetic moment: 0.00 μB per formula unit
Crystal system: orthorhombic
ΔE_f (raw): 0.20 eV/atom

---

# 2
Entry from the Alexandria database: crystalline CeNd3Y2Te6 at its relaxed geometry (GGA-PBE).

```
12
Lattice="4.424 0.000 0.000 0.000 8.969 0.327 -2.212 -2.576 9.356" Properties=species:S:1:pos:R:3 pbc="T T T"
Te 0.000 2.095 6.314
Te 0.000 6.442 6.507
Te 0.000 2.238 0.150
Te 2.212 -0.048 3.177
Nd 2.212 -0.235 6.351
Te 2.212 4.156 9.533
Y 0.000 2.112 3.204
Y 2.212 4.281 6.479
Ce 2.212 0.000 0.000
Nd 2.212 4.485 0.164
Nd 0.000 6.629 3.332
Te 2.212 4.298 3.369
```

Space-group type: C2/m, No. 12
Fermi-level density of states: 1.0457 states/eV/atom
Total magnetic moment: 1.27 μB per formula unit
Crystal system: monoclinic
ΔE_f (raw): -1.38 eV/atom

---

# 3
Entry from the Alexandria database: crystalline DyThZnNi at its relaxed geometry (GGA-PBE).

```
4
Lattice="-4.369 -2.418 0.344 -1.538 -1.771 4.421 -3.868 2.142 2.346" Properties=species:S:1:pos:R:3 pbc="T T T"
Zn -7.331 -1.535 5.333
Th 0.000 0.000 0.000
Dy -4.887 -1.023 3.556
Ni -2.444 -0.512 1.778
```

Space-group type: F-43m, No. 216
Fermi-level density of states: 0.8422 states/eV/atom
Total magnetic moment: 0.00 μB per formula unit
Crystal system: cubic
ΔE_f: -246 meV per atom

---

# 4
Entry from the Alexandria database: crystalline PaIn2Se4 at its relaxed geometry (GGA-PBE).

```
7
Lattice="-0.853 -2.823 -2.960 5.681 -4.374 2.533 -6.486 -1.766 3.555" Properties=species:S:1:pos:R:3 pbc="T T T"
Se -1.057 -6.221 3.289
Pa 0.000 0.000 0.000
In -3.670 -2.294 0.298
Se -3.752 -2.352 3.325
Se -0.601 -2.742 -0.161
Se 2.947 -3.788 2.763
In 2.414 -3.598 -0.213
```

Space-group type: Cmmm, No. 65
Fermi-level density of states: 0.4498 states/eV/atom
Total magnetic moment: 0.00 μB per formula unit
Crystal system: orthorhombic
ΔE_f (raw): -0.84 eV/atom

---

# 5
Entry from the Alexandria database: crystalline YH3Ir at its relaxed geometry (GGA-PBE).

```
5
Lattice="3.874 0.000 0.000 0.000 3.874 0.000 0.000 0.000 3.874" Properties=species:S:1:pos:R:3 pbc="T T T"
Y 0.000 0.000 0.000
Ir 1.937 1.937 1.937
H 0.000 1.937 0.000
H 1.937 0.000 0.000
H 0.000 0.000 1.937
```

Space-group type: Pm-3m, No. 221
E: -4.49 eV per atom
Fermi-level density of states: 0.3493 states/eV/atom
Total magnetic moment: 1.30 μB per formula unit
Crystal system: cubic

---

# 6
Entry from the Alexandria database: crystalline BaAcTe2Cl at its relaxed geometry (GGA-PBE).

```
10
Lattice="-3.500 -1.379 -3.016 3.299 -1.001 -3.371 1.195 -15.955 5.906" Properties=species:S:1:pos:R:3 pbc="T T T"
Cl 0.598 -7.977 2.953
Cl 0.497 -9.167 -0.241
Te 1.758 -1.941 -1.152
Te -1.394 -5.442 0.251
Ba 2.110 -6.638 0.587
Ac 2.704 -14.575 3.525
Te -0.663 -15.203 3.864
Ba -1.015 -10.506 2.126
Te 2.489 -11.703 2.461
Ac -1.609 -2.570 -0.812
```

Space-group type: P4/nmm, No. 129
Fermi-level density of states: 0.3570 states/eV/atom
Total magnetic moment: 0.00 μB per formula unit
Crystal system: tetragonal
ΔE_f (raw): -1.81 eV/atom

---

# 7
Entry from the Alexandria database: crystalline CoSi2Au2 at its relaxed geometry (GGA-PBE).

```
10
Lattice="-3.257 -0.233 -5.016 4.637 -2.436 -2.898 -1.418 -4.016 1.107" Properties=species:S:1:pos:R:3 pbc="T T T"
Si 2.820 -2.190 -4.330
Au 1.931 -3.849 -2.741
Si -1.441 -0.479 -3.584
Si 1.245 -0.919 -1.737
Co 0.000 0.000 0.000
Co 0.690 -1.335 -3.957
Au -0.496 -2.638 -1.460
Si 0.134 -1.751 -6.177
Au -1.970 -2.836 -4.066
Au 0.458 -4.047 -5.347
```

Space-group type: P4/mbm, No. 127
Fermi-level density of states: 0.3932 states/eV/atom
Energy relative to the lowest polymorph listed for this composition: 0.0 meV per atom
Total magnetic moment: 0.57 μB per formula unit
Crystal system: tetragonal
ΔE_f (raw): 0.06 eV/atom

---

# 8
Entry from the Alexandria database: crystalline HfSc7 at its relaxed geometry (GGA-PBE).

```
8
Lattice="-2.882 1.354 0.222 -4.472 -5.072 -4.163 -3.316 -4.249 5.831" Properties=species:S:1:pos:R:3 pbc="T T T"
Hf 0.000 0.000 0.000
Sc -6.246 -5.559 -1.265
Sc -2.615 -1.872 0.457
Sc -5.691 -5.165 3.529
Sc -4.979 -2.802 -1.639
Sc -4.425 -2.407 3.156
Sc -3.894 -4.660 0.834
Sc -8.056 -6.095 1.434
```

Space-group type: Immm, No. 71
Fermi-level density of states: 1.9426 states/eV/atom
Total magnetic moment: 0.00 μB per formula unit
Crystal system: orthorhombic
ΔE_f: 59 meV per atom

---

# 9
Entry from the Alexandria database: crystalline ReTcTe4 at its relaxed geometry (GGA-PBE).

```
6
Lattice="3.512 -4.321 2.617 -2.500 -4.050 3.900 -0.620 -5.892 -1.663" Properties=species:S:1:pos:R:3 pbc="T T T"
Te -1.099 -7.373 3.766
Te 0.147 -5.354 1.822
Re 0.294 -10.698 3.641
Te 1.899 -7.509 3.127
Te -0.162 -8.291 0.993
Tc 0.000 0.000 0.000
```

Space-group type: F-43m, No. 216
Fermi-level density of states: 1.2151 states/eV/atom
Total magnetic moment: 7.92 μB per formula unit
Crystal system: cubic
ΔE_f (raw): 1.88 eV/atom

---

# 10
Entry from the Alexandria database: crystalline CePmAgAu at its relaxed geometry (GGA-PBE).

```
4
Lattice="3.667 0.000 0.000 0.000 3.667 0.000 0.000 0.000 7.611" Properties=species:S:1:pos:R:3 pbc="T T T"
Au 0.000 0.000 2.762
Pm 1.834 1.834 4.573
Ag 0.000 0.000 6.468
Ce 1.834 1.834 0.870
```

Space-group type: P4mm, No. 99
Fermi-level density of states: 2.1968 states/eV/atom
Energy relative to the lowest polymorph listed for this composition: 0.0 meV per atom
Total magnetic moment: 1.15 μB per formula unit
Crystal system: tetragonal
ΔE_f: -425 meV per atom

---

# 11
Entry from the Alexandria database: crystalline Ce2DyY at its relaxed geometry (GGA-PBE).

```
8
Lattice="9.048 0.342 0.256 1.174 3.172 0.721 0.672 -0.336 8.604" Properties=species:S:1:pos:R:3 pbc="T T T"
Dy 3.584 1.746 7.181
Ce 6.653 0.496 7.569
Y 4.860 0.003 4.430
Ce 1.572 1.860 1.637
Y 0.923 1.418 4.662
Dy 7.310 1.432 2.399
Ce 4.241 2.682 2.011
Ce 9.323 1.318 7.944
```

Space-group type: P-1, No. 2
Fermi-level density of states: 2.3832 states/eV/atom
Energy relative to the lowest polymorph listed for this composition: 111.8 meV per atom
Total magnetic moment: 0.40 μB per formula unit
Crystal system: triclinic
ΔE_f: 206 meV per atom

---

# 12
Entry from the Alexandria database: crystalline Dy2Al6Au9 at its relaxed geometry (GGA-PBE).

```
17
Lattice="5.744 0.000 0.000 -2.872 4.975 0.000 0.000 0.000 12.312" Properties=species:S:1:pos:R:3 pbc="T T T"
Al 0.000 3.317 4.121
Al 2.872 1.658 4.121
Au -1.436 2.487 6.156
Au -1.436 2.487 10.238
Au 2.872 0.000 10.238
Au 1.436 2.487 10.238
Au 2.872 0.000 6.156
Au 2.872 0.000 2.074
Al 0.000 3.317 0.000
Au 1.436 2.487 6.156
Dy 0.000 0.000 8.309
Au 1.436 2.487 2.074
Al 0.000 3.317 8.191
Al 2.872 1.658 8.191
Al 2.872 1.658 0.000
Dy 0.000 0.000 4.003
Au -1.436 2.487 2.074
```

Space-group type: P6/mmm, No. 191
Fermi-level density of states: 0.3245 states/eV/atom
Total magnetic moment: 0.00 μB per formula unit
Crystal system: hexagonal
ΔE_f: -405 meV per atom

---

# 13
Entry from the Alexandria database: crystalline Cs2ZnGaBi2 at its relaxed geometry (GGA-PBE).

```
12
Lattice="7.270 0.000 0.000 0.000 7.284 0.000 -3.635 -3.642 8.786" Properties=species:S:1:pos:R:3 pbc="T T T"
Bi 5.406 0.000 1.504
Bi 1.771 0.000 7.282
Zn 3.635 1.821 0.000
Cs -1.830 0.000 5.921
Bi -1.771 3.642 7.282
Ga 0.000 5.463 0.000
Ga 0.000 1.821 0.000
Bi 1.864 3.642 1.504
Cs 1.830 3.642 5.921
Zn 3.635 5.463 0.000
Cs 1.805 0.000 2.865
Cs 5.465 3.642 2.865
```

Space-group type: Ibam, No. 72
Fermi-level density of states: 0.2815 states/eV/atom
Total magnetic moment: 0.00 μB per formula unit
Crystal system: orthorhombic
ΔE_f: -277 meV per atom

---

# 14
Entry from the Alexandria database: crystalline NaGa2Ge at its relaxed geometry (GGA-PBE).

```
8
Lattice="-2.851 7.154 1.994 -4.302 0.149 -6.690 -5.725 2.418 -0.994" Properties=species:S:1:pos:R:3 pbc="T T T"
Ga -4.307 1.167 -4.299
Ga -10.809 8.213 -5.252
Ge 0.000 0.000 0.000
Na -3.577 3.652 -2.348
Ga -3.921 5.520 0.280
Ge -6.076 6.612 -0.674
Na -6.802 3.110 -5.016
Ga -6.720 4.544 -2.109
```

Space-group type: I-42d, No. 122
Fermi-level density of states: 0.4883 states/eV/atom
Total magnetic moment: 0.00 μB per formula unit
Crystal system: tetragonal
ΔE_f: 51 meV per atom

---

# 15
Entry from the Alexandria database: crystalline Sr3Cr at its relaxed geometry (GGA-PBE).

```
8
Lattice="6.223 0.000 0.000 0.000 6.973 0.000 0.000 0.000 7.707" Properties=species:S:1:pos:R:3 pbc="T T T"
Cr 0.000 4.856 0.000
Sr 0.000 1.095 1.927
Cr 3.111 2.116 3.854
Sr 3.111 2.629 0.000
Sr 3.111 5.877 5.780
Sr 3.111 5.877 1.927
Sr 0.000 1.095 5.781
Sr 0.000 4.343 3.854
```

Space-group type: Pmmn, No. 59
Fermi-level density of states: 1.0311 states/eV/atom
Total magnetic moment: 4.56 μB per formula unit
Crystal system: orthorhombic
ΔE_f: 470 meV per atom

---

# 16
Entry from the Alexandria database: crystalline SmGd2Hg at its relaxed geometry (GGA-PBE).

```
4
Lattice="3.543 0.000 0.000 1.772 3.069 0.000 1.772 1.023 12.047" Properties=species:S:1:pos:R:3 pbc="T T T"
Sm 3.543 2.046 6.024
Gd 5.315 3.069 3.161
Hg 0.000 0.000 0.000
Gd 1.772 1.023 8.886
```

Space-group type: R-3m, No. 166
Fermi-level density of states: 1.2439 states/eV/atom
Energy relative to the lowest polymorph listed for this composition: 336.8 meV per atom
Total magnetic moment: 15.03 μB per formula unit
Crystal system: trigonal
ΔE_f: 101 meV per atom

---

# 17
Entry from the Alexandria database: crystalline PrSm2Dy3S6 at its relaxed geometry (GGA-PBE).

```
12
Lattice="6.862 -0.011 -0.001 -3.439 5.938 -0.001 -1.143 -1.979 6.538" Properties=species:S:1:pos:R:3 pbc="T T T"
Sm 3.426 1.974 -0.001
S 3.443 1.941 4.814
S 2.266 3.923 1.710
Dy -2.314 3.969 3.268
Pr 0.000 0.000 0.000
Dy 4.594 -0.021 3.268
Sm -0.003 3.953 -0.001
Dy 1.140 1.974 3.268
S 0.014 0.025 4.825
S -0.040 3.952 4.814
S 2.320 -0.004 1.721
S -1.163 2.007 1.721
```

Space-group type: C2/m, No. 12
Fermi-level density of states: 0.4409 states/eV/atom
Total magnetic moment: 0.00 μB per formula unit
Crystal system: monoclinic
ΔE_f (raw): -2.01 eV/atom